# YRh

A PBEsol-optimized structure of YRh (SCAN, Alexandria via LeMat-Bulk).

The structure in POSCAR format:
```
YRh
1.0
4.184 0.000 0.000
-2.092 3.623 0.000
0.000 0.000 5.645
Y Rh
2 2
Direct
0.333 0.667 0.250
0.667 0.333 0.750
0.000 0.000 0.000
0.000 0.000 0.500
```

Summary:
V   21.39 Å³ per atom
Formation energy   -863 meV/atom
Space group   No. 194